(1)
Material: VTcI2O
Method: DFT, PBE with a Hubbard U
State: optimized geometry

Cell lengths 5.799, 5.799, 3.659 Å; angles 90.00, 90.00, 90.00 degrees
Space group P4/mmm (No. 123)
Asymmetric unit:
V (0.000, 0.000, 0.000) (multiplicity 1)
Tc (0.500, 0.500, 0.500) (multiplicity 1)
I (0.000, 0.500, 0.000) (multiplicity 2)
O (0.000, 0.000, 0.500) (multiplicity 1)

E = -4.91 eV per atom
energy above the lowest structure with this stoichiometry = 125.9 meV/atom
DOS at the Fermi energy = 2.811 states/eV/f.u.

***

(2)
Material: VTcI2O
Method: DFT, PBE with a Hubbard U
State: optimized geometry

Cell lengths 5.590, 5.590, 3.750 Å; angles 90.00, 90.00, 90.00 degrees
Space group P4/mmm (No. 123)
Asymmetric unit:
V (0.000, 0.000, 0.000) (multiplicity 1)
Tc (0.500, 0.500, 0.500) (multiplicity 1)
I (0.000, 0.500, 0.500) (multiplicity 2)
O (0.500, 0.500, 0.000) (multiplicity 1)

E = -5.04 eV per atom
energy above the lowest structure with this stoichiometry = 0.0 meV/atom
DOS at the Fermi energy = 3.434 states/eV/f.u.

***

(3)
Material: TcWI2O
Method: DFT, PBE with a Hubbard U
State: optimized geometry

Cell lengths 5.622, 5.622, 3.763 Å; angles 90.00, 90.00, 90.00 degrees
Space group P4/mmm (No. 123)
Asymmetric unit:
Tc (0.000, 0.000, 0.000) (multiplicity 1)
W (0.500, 0.500, 0.500) (multiplicity 1)
I (0.000, 0.500, 0.000) (multiplicity 2)
O (0.000, 0.000, 0.500) (multiplicity 1)

E = -4.73 eV per atom
energy above the lowest structure with this stoichiometry = 0.0 meV/atom
DOS at the Fermi energy = 1.785 states/eV/f.u.

***

(4)
Material: TcWI2O
Method: DFT, PBE with a Hubbard U
State: optimized geometry

Cell lengths 5.957, 5.957, 3.852 Å; angles 90.00, 90.00, 90.00 degrees
Space group P4/mmm (No. 123)
Asymmetric unit:
Tc (0.000, 0.000, 0.000) (multiplicity 1)
W (0.500, 0.500, 0.500) (multiplicity 1)
I (0.000, 0.500, 0.500) (multiplicity 2)
O (0.500, 0.500, 0.000) (multiplicity 1)

E = -4.66 eV per atom
energy above the lowest structure with this stoichiometry = 70.7 meV/atom
DOS at the Fermi energy = 3.281 states/eV/f.u.

***

Repeat the second record exactly.
Material: VTcI2O
Method: DFT, PBE with a Hubbard U
State: optimized geometry

Cell lengths 5.590, 5.590, 3.750 Å; angles 90.00, 90.00, 90.00 degrees
Space group P4/mmm (No. 123)
Asymmetric unit:
V (0.000, 0.000, 0.000) (multiplicity 1)
Tc (0.500, 0.500, 0.500) (multiplicity 1)
I (0.000, 0.500, 0.500) (multiplicity 2)
O (0.500, 0.500, 0.000) (multiplicity 1)

E = -5.04 eV per atom
energy above the lowest structure with this stoichiometry = 0.0 meV/atom
DOS at the Fermi energy = 3.434 states/eV/f.u.

***

What is the formula in the fourth record?
TcWI2O